# 1
The following is a DFT calculation (PBE) of YS2ClO after structural relaxation.

The structure in POSCAR format:
```
YS2ClO
1.0
4.4155 0.0000 0.0000
0.0000 4.4155 0.0000
0.0000 0.0000 4.3980
Y S Cl O
1 2 1 1
Cartesian
0.0000 0.0000 0.0000 Y
0.0000 2.2078 2.1990 S
2.2078 0.0000 2.1990 S
2.2078 2.2078 0.0000 Cl
2.2078 2.2078 2.1990 O
```

Properties
Uncorrected formation energy in meV per atom: -484
Uncorrected energy in eV/atom: -4.79
Distance to the lowest polymorph of the same formula in eV/f.u.: 0.00



# 2
The following is a DFT calculation (PBE) of BaZrPb after structural relaxation.

The structure in POSCAR format:
```
BaZrPb
1.0
-1.7404 1.7404 7.9196
1.7404 -1.7404 7.9196
1.7404 1.7404 -7.9196
Ba Zr Pb
1 1 1
Cartesian
0.0000 0.0000 0.0000 Ba
0.0000 0.0000 10.9969 Zr
0.0000 0.0000 5.1515 Pb
```

Properties
Uncorrected energy in eV/atom: -4.60
Distance to the lowest polymorph of the same formula in eV/f.u.: 1.07
ΔH_f (0 K) in eV/f.u.: 0.38



# 3
The following is a DFT calculation (PBE) of TbSm3N4 after structural relaxation.

The structure in POSCAR format:
```
TbSm3N4
1.0
5.0440 0.0000 0.0000
0.0000 5.0440 0.0000
0.0000 0.0000 5.0440
Tb Sm N
1 3 4
Cartesian
0.0000 0.0000 0.0000 Tb
0.0000 2.5220 2.5220 Sm
2.5220 0.0000 2.5220 Sm
2.5220 2.5220 0.0000 Sm
0.0000 0.0000 2.5220 N
0.0000 2.5220 0.0000 N
2.5220 0.0000 0.0000 N
2.5220 2.5220 2.5220 N
```

Properties
Uncorrected formation energy in meV per atom: -1519
Uncorrected energy in eV/atom: -8.03
Distance to the lowest polymorph of the same formula in eV/f.u.: 0.02



# 4
The following is a DFT calculation (PBE) of Pr2HoAl9 after structural relaxation.

The structure in POSCAR format:
```
Pr2HoAl9
1.0
2.8311 1.6346 8.8484
-2.8311 1.6346 8.8484
0.0000 -3.2691 8.8484
Pr Ho Al
2 1 9
Cartesian
0.0000 0.0000 3.7606 Pr
0.0000 0.0000 22.7846 Pr
0.0000 0.0000 0.0000 Ho
-1.4454 -0.8345 11.0195 Al
0.0000 0.0000 8.8967 Al
0.0000 -1.6690 15.5257 Al
-1.4454 0.8345 15.5257 Al
0.0000 0.0000 13.2726 Al
1.4454 -0.8345 11.0195 Al
0.0000 1.6690 11.0195 Al
0.0000 0.0000 17.6485 Al
1.4454 0.8345 15.5257 Al
```

Properties
Uncorrected energy in eV/atom: -4.32
ΔH_f (0 K) in eV/f.u.: -4.07



# 5
The following is a DFT calculation (PBE) of Pr2Si4Ni3Pt after structural relaxation.

The structure in POSCAR format:
```
Pr2Si4Ni3Pt
1.0
4.0955 0.0000 0.0000
0.0000 4.0955 0.0000
0.0000 0.0000 9.7750
Pr Si Ni Pt
2 4 3 1
Cartesian
0.0000 2.0477 2.3630 Pr
2.0477 0.0000 7.4120 Pr
0.0000 0.0000 0.0000 Si
0.0000 2.0477 6.2245 Si
2.0477 0.0000 3.5505 Si
2.0477 2.0477 0.0000 Si
0.0000 2.0477 8.6157 Ni
2.0477 0.0000 1.1593 Ni
2.0477 2.0477 4.8875 Ni
0.0000 0.0000 4.8875 Pt
```

Properties
Uncorrected formation energy in meV per atom: -868
Uncorrected energy in eV/atom: -6.33



# 6
The following is a DFT calculation (PBE) of Mg2POs after structural relaxation.

The structure in POSCAR format:
```
Mg2POs
1.0
-1.8858 1.8858 4.2319
1.8858 -1.8858 4.2319
1.8858 1.8858 -4.2319
Mg P Os
2 1 1
Cartesian
1.8858 0.0000 2.1160 Mg
0.0000 1.8858 2.1160 Mg
0.0000 0.0000 0.0000 P
0.0000 0.0000 4.2319 Os
```

Properties
Uncorrected energy in eV/atom: -4.84
ΔH_f (0 K) in eV/f.u.: 0.45